Record 1
A plane-wave DFT calculation with PBE-GGA was carried out for crystalline Nd6PPd2I3 at its relaxed geometry.

Cell: 7.4258 7.4258 8.1714 Å, 98.69 98.69 119.83°
Closest atoms and distances in Å follow each position.
Element x y z (fractional)
Nd 0.1017 0.4351 0.8066  2 Pd 2.90, 1 P 2.90
Nd 0.2304 0.2304 0.1932  2 Pd 2.90, 1 P 2.90
Nd 0.4351 0.1017 0.8066  2 Pd 2.90, 1 P 2.90
Nd 0.5649 0.8983 0.1934  2 Pd 2.90, 1 P 2.90
Nd 0.7696 0.7696 0.8068  2 Pd 2.90, 1 P 2.90
Nd 0.8983 0.5649 0.1934  2 Pd 2.90, 1 P 2.90
P 0.5000 0.5000 0.0000  6 Nd 2.90
Pd 0.1669 0.8331 0.0000  6 Nd 2.90
Pd 0.8331 0.1669 0.0000  6 Nd 2.90
I 0.0000 0.0000 0.5000  6 Nd 3.44
I 0.3368 0.6632 0.5000  6 Nd 3.42-3.47
I 0.6632 0.3368 0.5000  6 Nd 3.42-3.47

- energy relative to the elements, uncorrected (eV per formula unit) = -11.741
- N(E_F) (states/eV per atom) = 0.890
- total moment (μB per formula unit) = 0.0

***

Record 2
A plane-wave DFT calculation with PBE-GGA was carried out for crystalline PrNdPI at its relaxed geometry.

Cell: 8.1774 8.1774 8.1774 Å, 29.72 29.72 29.72°
Closest atoms and distances in Å follow each position.
Element x y z (fractional)
Pr 0.0000 0.0000 0.0000  3 P 2.88
Nd 0.7957 0.7957 0.7957  3 P 2.83
P 0.4000 0.4000 0.4000  3 Nd 2.83, 3 Pr 2.88
I 0.2298 0.2298 0.2298  3 Nd 3.38, 3 Pr 3.43

- energy relative to the elements, uncorrected (eV per formula unit) = -5.495
- N(E_F) (states/eV per atom) = 0.264
- total moment (μB per formula unit) = 0.0

***

Record 3
A plane-wave DFT calculation with PBE-GGA was carried out for crystalline Nd6PPt2I3 at its relaxed geometry.

Cell: 7.4618 7.4618 8.2312 Å, 98.69 98.69 119.80°
Closest atoms and distances in Å follow each position.
Element x y z (fractional)
Nd 0.0972 0.4369 0.8114  2 Pt 2.87-2.88, 1 P 2.94
Nd 0.2231 0.2231 0.1889  2 Pt 2.88, 1 P 2.94
Nd 0.4369 0.0972 0.8114  2 Pt 2.87-2.88, 1 P 2.94
Nd 0.5631 0.9028 0.1886  2 Pt 2.87-2.88, 1 P 2.94
Nd 0.7769 0.7769 0.8111  2 Pt 2.88, 1 P 2.94
Nd 0.9028 0.5631 0.1886  2 Pt 2.87-2.88, 1 P 2.94
P 0.5000 0.5000 0.0000  6 Nd 2.94
Pt 0.1669 0.8331 0.0000  6 Nd 2.87-2.88
Pt 0.8331 0.1669 0.0000  6 Nd 2.87-2.88
I 0.0000 0.0000 0.5000  6 Nd 3.45-3.51
I 0.3369 0.6631 0.5000  6 Nd 3.48-3.51
I 0.6631 0.3369 0.5000  6 Nd 3.48-3.51

- energy relative to the elements, uncorrected (eV per formula unit) = -13.763
- N(E_F) (states/eV per atom) = 0.914
- total moment (μB per formula unit) = 0.0

***

Record 4
A plane-wave DFT calculation with PBE-GGA was carried out for crystalline Nd4PPtI2 at its relaxed geometry.

Cell: 7.6219 4.1718 8.0877 Å, 90.00 106.83 90.00°
Closest atoms and distances in Å follow each position.
Element x y z (fractional)
Nd 0.2221 0.0000 0.1904  2 Pt 2.84, 1 P 2.96
Nd 0.2768 0.5000 0.8050  2 P 2.86, 1 Pt 2.98
Nd 0.7232 0.5000 0.1950  2 P 2.86, 1 Pt 2.98
Nd 0.7779 0.0000 0.8096  2 Pt 2.84, 1 P 2.96
P 0.5000 0.0000 0.0000  6 Nd 2.86-2.96
Pt 0.0000 0.5000 0.0000  6 Nd 2.84-2.98
I 0.0000 0.0000 0.5000  6 Nd 3.40-3.45
I 0.5000 0.5000 0.5000  6 Nd 3.38-3.47

- energy relative to the elements, uncorrected (eV per formula unit) = -9.499
- N(E_F) (states/eV per atom) = 0.777
- total moment (μB per formula unit) = 0.0

***

Record 5
A plane-wave DFT calculation with PBE-GGA was carried out for crystalline Nd8PPt3I4 at its relaxed geometry.

Cell: 9.3531 9.3531 9.3531 Å, 54.70 54.70 54.70°
Closest atoms and distances in Å follow each position.
Element x y z (fractional)
Nd 0.2271 0.7313 0.7313  2 Pt 2.89, 1 P 2.92
Nd 0.2284 0.2284 0.2284  3 Pt 2.88
Nd 0.2687 0.2687 0.7729  2 Pt 2.89, 1 P 2.92
Nd 0.2687 0.7729 0.2687  2 Pt 2.89, 1 P 2.92
Nd 0.7313 0.2271 0.7313  2 Pt 2.89, 1 P 2.92
Nd 0.7313 0.7313 0.2271  2 Pt 2.89, 1 P 2.92
Nd 0.7716 0.7716 0.7716  3 Pt 2.88
Nd 0.7729 0.2687 0.2687  2 Pt 2.89, 1 P 2.92
P 0.5000 0.5000 0.5000  6 Nd 2.92
Pt 0.0000 0.0000 0.5000  6 Nd 2.88-2.89
Pt 0.0000 0.5000 0.0000  6 Nd 2.88-2.89
Pt 0.5000 0.0000 0.0000  6 Nd 2.88-2.89
I 0.0000 0.0000 0.0000  6 Nd 3.48
I 0.0000 0.5000 0.5000  6 Nd 3.50-3.52
I 0.5000 0.0000 0.5000  6 Nd 3.50-3.52
I 0.5000 0.5000 0.0000  6 Nd 3.50-3.52

- energy relative to the elements, uncorrected (eV per formula unit) = -18.103
- N(E_F) (states/eV per atom) = 0.728
- total moment (μB per formula unit) = 0.0

***

Record 6
A plane-wave DFT calculation with PBE-GGA was carried out for crystalline Nd6PRh2I3 at its relaxed geometry.

Cell: 7.3292 7.3292 8.3654 Å, 98.33 98.33 119.96°
Closest atoms and distances in Å follow each position.
Element x y z (fractional)
Nd 0.0964 0.4378 0.8131  2 Rh 2.84, 1 P 2.92
Nd 0.2204 0.2204 0.1868  2 Rh 2.84, 1 P 2.92
Nd 0.4378 0.0964 0.8131  2 Rh 2.84, 1 P 2.92
Nd 0.5622 0.9036 0.1869  2 Rh 2.84, 1 P 2.92
Nd 0.7796 0.7796 0.8132  2 Rh 2.84, 1 P 2.92
Nd 0.9036 0.5622 0.1869  2 Rh 2.84, 1 P 2.92
P 0.5000 0.5000 0.0000  6 Nd 2.92
Rh 0.1669 0.8331 0.0000  6 Nd 2.84
Rh 0.8331 0.1669 0.0000  6 Nd 2.84
I 0.0000 0.0000 0.5000  6 Nd 3.45-3.52
I 0.3360 0.6640 0.5000  6 Nd 3.48-3.52
I 0.6640 0.3360 0.5000  6 Nd 3.48-3.52

- energy relative to the elements, uncorrected (eV per formula unit) = -12.336
- N(E_F) (states/eV per atom) = 0.263
- total moment (μB per formula unit) = 0.0

***

These records have electronic total energy values of -0.1862 -0.2021 -0.1976 -0.1981 -0.1975 -0.2012 Ha/atom, in the order they appear.